1.
The following is a meta-GGA SCAN calculation of a PBEsol-optimized structure of MgFe2Tc, from the Alexandria database.

Output
Size of the total moment   5.206 μB/cell
SG   R3m
Energy relative to the elements   0.233 eV per atom

abc: 8.680 8.680 8.680
angles: 17.77 17.77 17.77
Atoms (fractional coordinates):
Mg  0.000  0.000  0.000
Fe  0.245  0.245  0.245
Fe  0.504  0.504  0.504
Tc  0.761  0.761  0.761

---

2.
The following is a meta-GGA SCAN calculation of a PBEsol-optimized structure of YMgFeTc2, from the Alexandria database.

Output
Size of the total moment   0.001 μB/cell
SG   P4/mmm
Energy relative to the elements   0.738 eV per atom

abc: 4.436 4.436 4.885
angles: 90.00 90.00 90.00
Atoms (fractional coordinates):
Y  0.000  0.000  0.000
Mg  0.500  0.500  0.000
Fe  0.000  0.000  0.500
Tc  0.000  0.500  0.500
Tc  0.500  0.000  0.500

---

3.
The following is a meta-GGA SCAN calculation of a PBEsol-optimized structure of MgFeTe2, from the Alexandria database.

Output
Size of the total moment   3.597 μB/cell
Raw formation energy   -0.22 eV/atom
SG   P4mm

abc: 3.820 3.820 6.449
angles: 90.00 90.00 90.00
Atoms (fractional coordinates):
Mg  0.000  0.000  0.000
Fe  0.500  0.500  0.695
Te  0.000  0.000  0.570
Te  0.500  0.500  0.115